A plane-wave DFT calculation with PBE-GGA was carried out for BaCe2AuS5 after structural relaxation.

POSCAR file:
```
BaCe2AuS5
1.0
7.795 0.000 0.000
0.000 7.795 0.000
-3.898 -3.898 7.121
Ba Ce Au S
2 4 2 10
direct
0.250 0.250 0.500
0.750 0.750 0.500
0.160 0.340 0.000
0.660 0.160 0.000
0.340 0.840 0.000
0.840 0.660 0.000
0.250 0.750 0.500
0.750 0.250 0.500
0.970 0.470 0.248
0.722 0.222 0.752
0.030 0.530 0.752
0.222 0.030 0.752
0.530 0.722 0.752
0.778 0.970 0.248
0.470 0.278 0.248
0.278 0.778 0.248
0.500 0.500 0.000
0.000 0.000 0.000
```

Computed properties:
density: 5.95 Mg/m³
volume: 24.04 Å³ per atom
DFT total energy: -5.79 eV/atom
formation energy from raw total energies: -1.605 eV per atom
SG: No. 140